(1)
CeInAs2 (PBE-GGA, relaxed); M_tot = 0.00 Bohr magnetons per cell; excess energy over the best structure of this formula in the dataset = 49 kJ/mol of formula units; E_form = -0.60 eV per atom; final energy = -20.38 eV per cell
1.0
2.1300 1.2298 6.6633
-2.1300 1.2298 6.6633
0.0000 -2.4595 6.6633
Ce In As
1 1 2
Direct
0.0000 0.0000 0.0000
0.1697 0.1697 0.1697
0.4073 0.4073 0.4073
0.5827 0.5827 0.5827


(2)
CeInAs2 (PBE-GGA, relaxed); M_tot = 0.81 Bohr magnetons per cell; excess energy over the best structure of this formula in the dataset = 140 kJ/mol of formula units; E_form = -0.37 eV per atom; final energy = -19.45 eV per cell
1.0
2.2676 1.3092 7.8373
-2.2676 1.3092 7.8373
0.0000 -2.6184 7.8373
Ce In As
1 1 2
Direct
0.0000 0.0000 0.0000
0.5000 0.5000 0.5000
0.3921 0.3921 0.3921
0.6079 0.6079 0.6079


(3)
CeInAs2 (PBE-GGA, relaxed); M_tot = 0.00 Bohr magnetons per cell; excess energy over the best structure of this formula in the dataset = 0 kJ/mol of formula units; E_form = -0.73 eV per atom; final energy = -20.90 eV per cell
1.0
4.7904 0.0000 0.0000
0.0000 4.7904 0.0000
0.0000 0.0000 3.8610
Ce In As
1 1 2
Direct
0.0000 0.0000 0.0000
0.5000 0.5000 0.0000
0.0000 0.5000 0.5000
0.5000 0.0000 0.5000


(4)
Ce2InNi4As3 (PBE-GGA, relaxed); M_tot = 0.51 Bohr magnetons per cell; E_form = -0.72 eV per atom; final energy = -58.83 eV per cell
1.0
4.1383 0.0000 0.0000
0.0000 4.1383 0.0000
0.0000 0.0000 10.0784
Ce In Ni As
2 1 4 3
Direct
0.0000 0.5000 0.2315
0.5000 0.0000 0.7685
0.0000 0.0000 0.5000
0.0000 0.0000 0.0000
0.0000 0.5000 0.6464
0.5000 0.0000 0.3536
0.5000 0.5000 0.0000
0.0000 0.5000 0.8754
0.5000 0.0000 0.1246
0.5000 0.5000 0.5000


(5)
CeIn2As2Pd7 (PBE-GGA, relaxed); M_tot = 0.45 Bohr magnetons per cell; E_form = -0.44 eV per atom; final energy = -62.37 eV per cell
1.0
2.8383 -2.8542 0.0000
2.8383 2.8542 0.0000
-1.6655 0.0000 14.7688
Ce In As Pd
1 2 2 7
Direct
0.0000 0.0000 0.0000
0.1184 0.1184 0.4081
0.8816 0.8816 0.5919
0.4230 0.4230 0.7506
0.5770 0.5770 0.2494
0.0469 0.5462 0.1478
0.3873 0.3873 0.5840
0.4538 0.9531 0.8522
0.5000 0.5000 0.0000
0.5462 0.0469 0.1478
0.6127 0.6127 0.4160
0.9531 0.4538 0.8522


(6)
Ce2InAs3Rh4 (PBE-GGA, relaxed); M_tot = 0.53 Bohr magnetons per cell; E_form = -0.83 eV per atom; final energy = -66.30 eV per cell
1.0
4.0978 0.0000 0.0000
0.0000 4.0978 0.0000
0.0000 0.0000 11.2222
Ce In As Rh
2 1 3 4
Direct
0.0000 0.5000 0.2393
0.5000 0.0000 0.7607
0.0000 0.0000 0.5000
0.0000 0.5000 0.8719
0.5000 0.0000 0.1281
0.5000 0.5000 0.5000
0.0000 0.0000 0.0000
0.0000 0.5000 0.6586
0.5000 0.0000 0.3414
0.5000 0.5000 0.0000


(7)
CeAs3Ir3 (PBE-GGA, relaxed); M_tot = 2.82 Bohr magnetons per cell; E_form = -0.21 eV per atom; final energy = -95.88 eV per cell
1.0
6.7594 0.0000 0.0000
0.0000 6.7594 0.0000
0.0000 0.0000 6.7594
Ce As Ir
2 6 6
Direct
0.0000 0.0000 0.0000
0.5000 0.5000 0.5000
0.0000 0.2500 0.5000
0.0000 0.7500 0.5000
0.2500 0.5000 0.0000
0.5000 0.0000 0.2500
0.5000 0.0000 0.7500
0.7500 0.5000 0.0000
0.0000 0.5000 0.2500
0.0000 0.5000 0.7500
0.2500 0.0000 0.5000
0.5000 0.2500 0.0000
0.5000 0.7500 0.0000
0.7500 0.0000 0.5000


(8)
CeAs2Ir3 (PBE-GGA, relaxed); M_tot = 1.42 Bohr magnetons per cell; E_form = -0.61 eV per atom; final energy = -136.35 eV per cell
1.0
8.2540 -2.0300 0.0000
8.2540 2.0300 0.0000
-3.0362 0.0000 9.4660
Ce As Ir
3 6 9
Direct
0.0000 0.0000 0.0000
0.1579 0.1579 0.6998
0.8421 0.8421 0.3002
0.1954 0.1954 0.1264
0.3628 0.3628 0.5436
0.4596 0.4596 0.2198
0.5404 0.5404 0.7802
0.6372 0.6372 0.4564
0.8046 0.8046 0.8736
0.0420 0.0420 0.3279
0.2217 0.2217 0.3899
0.3212 0.3212 0.0419
0.3796 0.3796 0.7956
0.5000 0.5000 0.5000
0.6204 0.6204 0.2044
0.6788 0.6788 0.9581
0.7783 0.7783 0.6101
0.9580 0.9580 0.6721